[1]
Ca3Dy2PaBi6: optimized geometry, PBE.

Structure (CIF):
```
data_Ca3Dy2PaBi6
_chemical_formula_sum 'Ca6 Dy4 Pa2 Bi12'
_cell_length_a 7.860
_cell_length_b 13.619
_cell_length_c 7.915
_cell_angle_alpha 90.00
_cell_angle_beta 109.33
_cell_angle_gamma 90.00
_symmetry_space_group_name_H-M 'C 1 2/m 1'
_symmetry_Int_Tables_number 12
loop_
_symmetry_equiv_pos_as_xyz
'x,y,z'
'-x,-y,-z'
'-x,y,-z'
'x,-y,z'
'x+1/2,y+1/2,z'
'-x+1/2,-y+1/2,-z'
'-x+1/2,y+1/2,-z'
'x+1/2,-y+1/2,z'
loop_
_atom_site_label
_atom_site_type_symbol
_atom_site_fract_x
_atom_site_fract_y
_atom_site_fract_z
Ca1 Ca 0.000 0.000 0.000
Ca2 Ca 0.000 0.331 0.000
Dy1 Dy 0.000 0.166 0.500
Pa1 Pa 0.000 0.500 0.500
Bi1 Bi 0.243 0.335 0.738
Bi2 Bi 0.249 0.500 0.261
```

ΔE_f in eV per atom: -0.69

[2]
BaSrCd2Ni: optimized geometry, PBE.

Structure (CIF):
```
data_BaSrCd2Ni
_chemical_formula_sum 'Ba1 Sr1 Cd2 Ni1'
_cell_length_a 5.325
_cell_length_b 5.325
_cell_length_c 5.334
_cell_angle_alpha 90.00
_cell_angle_beta 90.00
_cell_angle_gamma 90.00
_symmetry_space_group_name_H-M 'P 4/m m m'
_symmetry_Int_Tables_number 123
_symmetry_space_group_name_Hall '-P 4 2'
loop_
_atom_site_label
_atom_site_type_symbol
_atom_site_fract_x
_atom_site_fract_y
_atom_site_fract_z
Ba1 Ba 0.000 0.000 0.000
Sr1 Sr 0.500 0.500 0.000
Cd1 Cd 0.000 0.500 0.500
Ni1 Ni 0.500 0.500 0.500
```

ΔE_f in eV per atom: -0.10

[3]
Er2PaBi: optimized geometry, PBE.

Structure (CIF):
```
data_Er2PaBi
_chemical_formula_sum 'Er2 Pa1 Bi1'
_cell_length_a 3.869
_cell_length_b 3.869
_cell_length_c 7.390
_cell_angle_alpha 90.00
_cell_angle_beta 90.00
_cell_angle_gamma 90.00
_symmetry_space_group_name_H-M 'P 4/m m m'
_symmetry_Int_Tables_number 123
_symmetry_space_group_name_Hall '-P 4 2'
loop_
_atom_site_label
_atom_site_type_symbol
_atom_site_fract_x
_atom_site_fract_y
_atom_site_fract_z
Er1 Er 0.000 0.000 0.235
Pa1 Pa 0.500 0.500 0.500
Bi1 Bi 0.500 0.500 0.000
```

ΔE_f in eV per atom: -0.16

[4]
Hf3MgPt2: optimized geometry, PBE.

Structure (CIF):
```
data_Hf3MgPt2
_chemical_formula_sum 'Hf6 Mg2 Pt4'
_cell_length_a 4.496
_cell_length_b 8.139
_cell_length_c 6.616
_cell_angle_alpha 90.00
_cell_angle_beta 90.00
_cell_angle_gamma 90.00
_symmetry_space_group_name_H-M 'P m c 21'
_symmetry_Int_Tables_number 26
loop_
_symmetry_equiv_pos_as_xyz
'x,y,z'
'-x,-y,z+1/2'
'-x,y,z'
'x,-y,z+1/2'
loop_
_atom_site_label
_atom_site_type_symbol
_atom_site_fract_x
_atom_site_fract_y
_atom_site_fract_z
Hf1 Hf 0.000 0.071 0.000
Hf2 Hf 0.000 0.331 0.358
Hf3 Hf 0.500 0.180 0.668
Mg1 Mg 0.500 0.430 0.040
Pt1 Pt 0.000 0.344 0.759
Pt2 Pt 0.500 0.143 0.270
```

ΔE_f in eV per atom: -0.78